1.
PBE-GGA Er2InIr, optimized geometry; final energy = -22.852 eV per cell; calculated volume = 106 Å³ per cell; polymorph energy (0 for the lowest one) = 0.172 eV per atom
1.0
-1.905 3.367 0.270
-3.536 0.105 1.590
1.501 2.448 7.905
In Er Ir
1 2 1
Direct
0.000 0.000 0.000
0.232 0.232 0.303
0.768 0.768 0.697
0.500 0.500 0.500

=====

2.
PBE-GGA ErInIr, optimized geometry; final energy = -17.661 eV per cell; calculated volume = 63 Å³ per cell
1.0
-0.627 -3.203 -0.109
1.943 -0.468 2.583
-5.254 2.613 2.362
Er In Ir
1 1 1
Direct
0.596 0.596 0.192
0.305 0.305 0.610
0.949 0.949 0.898

=====

3.
PBE-GGA Er8In2Ir, optimized geometry; final energy = -54.744 eV per cell; calculated volume = 303 Å³ per cell
1.0
-0.346 -0.314 -5.045
-6.111 -2.434 0.571
-0.735 9.542 2.000
In Er Ir
2 8 1
Direct
0.818 0.254 0.636
0.182 0.746 0.364
0.213 0.312 0.427
0.411 0.558 0.822
0.787 0.688 0.573
0.589 0.442 0.178
0.020 0.785 0.040
0.355 0.019 0.710
0.980 0.215 0.960
0.645 0.981 0.290
0.500 0.000 0.000

=====

What did the first record say?
PBE-GGA Er2InIr, optimized geometry; final energy = -22.852 eV per cell; calculated volume = 106 Å³ per cell; polymorph energy (0 for the lowest one) = 0.172 eV per atom
1.0
-1.905 3.367 0.270
-3.536 0.105 1.590
1.501 2.448 7.905
In Er Ir
1 2 1
Direct
0.000 0.000 0.000
0.232 0.232 0.303
0.768 0.768 0.697
0.500 0.500 0.500